[1]
Computed, not measured: a geometry-optimized PmMnInCl6 structure at the GGA-PBE level of DFT.

Results
* formation energy from raw total energies: -1.2989 eV/atom
* D(E_F): 0.9528 states/eV/atom
* theoretical density: 3.28 g cm⁻³
* calculated volume: 535 Å³/cell
* total moment: 0.1027 μB/atom

abc: 6.5746 6.5746 14.2869
angles: 90.00 90.00 120.00
With the nearest neighbours (Å) after each atom.
Positions (direct):
Pm: 0.3333 0.6667 0.2500  6 Cl 2.73
Pm: 0.6667 0.3333 0.7500  6 Cl 2.73
Mn: 0.3333 0.6667 0.7500  6 Cl 2.38
Mn: 0.6667 0.3333 0.2500  6 Cl 2.38
In: 0.0000 0.0000 0.0000  6 Cl 3.20
In: 0.0000 0.0000 0.5000  6 Cl 3.20
Cl: 0.0414 0.3825 0.6491  1 Mn 2.38
Cl: 0.0414 0.6589 0.8509  1 Mn 2.38
Cl: 0.3411 0.3825 0.8509  1 Mn 2.38
Cl: 0.3411 0.9586 0.6491  1 Mn 2.38
Cl: 0.3825 0.0414 0.1491  1 Mn 2.38
Cl: 0.3825 0.3411 0.3509  1 Mn 2.38
Cl: 0.6175 0.6589 0.6491  1 Mn 2.38
Cl: 0.6175 0.9586 0.8509  1 Mn 2.38
Cl: 0.6589 0.0414 0.3509  1 Mn 2.38
Cl: 0.6589 0.6175 0.1491  1 Mn 2.38
Cl: 0.9586 0.3411 0.1491  1 Mn 2.38
Cl: 0.9586 0.6175 0.3509  1 Mn 2.38

[2]
Computed, not measured: a geometry-optimized SrCa2Al structure at the GGA-PBE level of DFT.

Results
* D(E_F): 1.2002 states/eV/atom
* calculated formation energy: -0.052 eV per atom
* theoretical density: 2.22 g cm⁻³
* calculated volume: 146 Å³/cell
* total moment: 0.0000 μB/atom

abc: 7.1622 7.1622 7.1622
angles: 148.17 130.72 59.87
With the nearest neighbours (Å) after each atom.
Positions (direct):
Sr: 0.0000 0.0000 0.0000  4 Al 3.57, 4 Ca 3.89, 2 Sr 3.93
Ca: 0.2988 0.7988 0.5000  2 Al 3.18
Ca: 0.7012 0.2012 0.5000  2 Al 3.18
Al: 0.5000 0.5000 0.0000  4 Ca 3.18

[3]
Computed, not measured: a geometry-optimized Ba4C3 structure at the GGA-PBE level of DFT.

Results
* D(E_F): 0.8326 states/eV/atom
* calculated formation energy: 2.021 eV per atom
* theoretical density: 5.66 g cm⁻³
* calculated volume: 172 Å³/cell
* total moment: 0.0000 μB/atom

abc: 5.8063 5.8063 5.8796
angles: 90.00 90.00 120.00
With the nearest neighbours (Å) after each atom.
Positions (direct):
Ba: 0.0000 0.0000 0.2395  2 Ba 2.82-3.06
Ba: 0.0000 0.0000 0.7605  2 Ba 2.82-3.06
Ba: 0.3333 0.6667 0.5000  9 Ba 3.35-3.69, 6 C 3.38
Ba: 0.6667 0.3333 0.5000  9 Ba 3.35-3.69, 6 C 3.38
C: 0.0000 0.5000 0.0000  4 C 2.90, 4 Ba 3.23
C: 0.5000 0.0000 0.0000  4 C 2.90, 4 Ba 3.23
C: 0.5000 0.5000 0.0000  4 C 2.90, 4 Ba 3.23

[4]
Computed, not measured: a geometry-optimized Hf2FeSe structure at the GGA-PBE level of DFT.

Results
* formation energy from raw total energies: 0.2076 eV/atom
* D(E_F): 0.8187 states/eV/atom
* theoretical density: 10.29 g cm⁻³
* calculated volume: 79 Å³/cell
* total moment: 0.4010 μB/atom

abc: 8.9439 8.9439 8.9439
angles: 20.85 20.85 20.85
With the nearest neighbours (Å) after each atom.
Positions (direct):
Hf: 0.0900 0.0900 0.0900  1 Fe 2.36
Hf: 0.9100 0.9100 0.9100  1 Fe 2.36
Fe: 0.0000 0.0000 0.0000  2 Hf 2.36
Se: 0.5000 0.5000 0.5000  6 Hf 2.75

[5]
Computed, not measured: a geometry-optimized InHgMo structure at the GGA-PBE level of DFT.

Results
* D(E_F): 1.1789 states/eV/atom
* calculated formation energy: 0.551 eV per atom
* theoretical density: 11.30 g cm⁻³
* calculated volume: 60 Å³/cell
* total moment: 0.0003 μB/atom

abc: 7.2634 7.2634 7.2634
angles: 156.59 156.59 33.34
With the nearest neighbours (Å) after each atom.
Positions (direct):
In: 0.0000 0.0000 0.0000  4 In 2.95, 4 Mo 2.98
Hg: 0.6917 0.6917 0.0000  4 Hg 2.95, 4 Mo 3.00
Mo: 0.3467 0.3467 0.0000  4 Mo 2.95, 4 In 2.98, 4 Hg 3.00

[6]
Computed, not measured: a geometry-optimized Li2Cd12In5 structure at the GGA-PBE level of DFT.

Results
* D(E_F): 0.3077 states/eV/atom
* calculated formation energy: -0.019 eV per atom
* theoretical density: 7.22 g cm⁻³
* calculated volume: 445 Å³/cell
* total moment: 0.0000 μB/atom

abc: 11.2722 11.2722 4.7223
angles: 100.86 100.86 49.35
With the nearest neighbours (Å) after each atom.
Positions (direct):
Li: 0.2224 0.7776 0.0000  8 Cd 2.89-3.00, 2 In 3.16
Li: 0.7776 0.2224 0.0000  8 Cd 2.89-3.00, 2 In 3.16
Cd: 0.0689 0.5518 0.8208  5 Cd 3.03-3.28, 5 In 3.23-3.37
Cd: 0.0992 0.0992 0.0950  2 Li 2.89, 4 In 3.02-3.11, 2 Cd 3.03
Cd: 0.2056 0.6355 0.4265  2 Li 2.90-2.92, 2 In 3.09-3.12, 4 Cd 3.10-3.22
Cd: 0.3645 0.7944 0.5735  2 Li 2.90-2.92, 2 In 3.09-3.12, 4 Cd 3.10-3.22
Cd: 0.4261 0.4261 0.9291  7 Cd 2.96-3.25, 2 Li 3.00
Cd: 0.4482 0.9311 0.1792  5 Cd 3.03-3.28, 5 In 3.23-3.37
Cd: 0.5518 0.0689 0.8208  5 Cd 3.03-3.28, 5 In 3.23-3.37
Cd: 0.5739 0.5739 0.0709  7 Cd 2.96-3.25, 2 Li 3.00
Cd: 0.6355 0.2056 0.4265  2 Li 2.90-2.92, 2 In 3.09-3.12, 4 Cd 3.10-3.22
Cd: 0.7944 0.3645 0.5735  2 Li 2.90-2.92, 2 In 3.09-3.12, 4 Cd 3.10-3.22
Cd: 0.9008 0.9008 0.9050  2 Li 2.89, 4 In 3.02-3.11, 2 Cd 3.03
Cd: 0.9311 0.4482 0.1792  5 Cd 3.03-3.28, 5 In 3.23-3.37
In: 0.0000 0.0000 0.5000  8 Cd 3.07-3.12, 4 Li 3.16
In: 0.1957 0.1957 0.6907  6 Cd 3.02-3.37, 2 In 3.13-3.28
In: 0.3041 0.3041 0.3094  10 Cd 3.09-3.43, 2 In 3.13-3.28
In: 0.6959 0.6959 0.6906  10 Cd 3.09-3.43, 2 In 3.13-3.28
In: 0.8043 0.8043 0.3093  6 Cd 3.02-3.37, 2 In 3.13-3.28

[7]
Computed, not measured: a geometry-optimized Na2Cl8F structure at the GGA-PBE level of DFT.

Results
* formation energy from raw total energies: -0.6401 eV/atom
* D(E_F): 0.9189 states/eV/atom
* theoretical density: 1.62 g cm⁻³
* calculated volume: 356 Å³/cell
* total moment: 0.1102 μB/atom

abc: 5.0068 5.5390 13.1099
angles: 86.87 79.04 89.98
With the nearest neighbours (Å) after each atom.
Positions (direct):
Na: 0.2276 0.2394 0.0457  6 Cl 2.77-3.09
Na: 0.7724 0.7606 0.9543  6 Cl 2.77-3.09
Cl: 0.0376 0.5723 0.4281  1 Cl 1.98
Cl: 0.2252 0.7388 0.0493  4 Na 2.77-2.79, 1 Cl 3.02
Cl: 0.3427 0.7833 0.8143  1 Cl 2.09
Cl: 0.4200 0.9220 0.6600  1 F 2.08, 1 Cl 2.09
Cl: 0.5800 0.0780 0.3400  1 F 2.08, 1 Cl 2.09
Cl: 0.6573 0.2167 0.1857  1 Cl 2.09
Cl: 0.7748 0.2612 0.9507  4 Na 2.77-2.79, 1 Cl 3.02
Cl: 0.9624 0.4277 0.5719  1 Cl 1.98
F: 0.5000 0.0000 0.5000  2 Cl 2.08

[8]
Computed, not measured: a geometry-optimized Ta2ReRh structure at the GGA-PBE level of DFT.

Results
* D(E_F): 0.7630 states/eV/atom
* calculated formation energy: -0.201 eV per atom
* theoretical density: 16.44 g cm⁻³
* calculated volume: 66 Å³/cell
* total moment: 0.0000 μB/atom

abc: 2.7914 4.6207 5.1807
angles: 90.00 100.20 90.00
With the nearest neighbours (Å) after each atom.
Positions (direct):
Ta: 0.0000 0.0000 0.0000  2 Re 2.67, 2 Rh 2.69-2.74, 4 Ta 2.79-2.92
Ta: 0.2546 0.5000 0.7062  2 Re 2.67-2.76, 2 Rh 2.67, 4 Ta 2.79-2.92
Re: 0.7450 0.5000 0.1974  4 Ta 2.67-2.76, 2 Re 2.79, 2 Rh 2.96
Rh: 0.5010 0.0000 0.5062  4 Ta 2.67-2.74, 2 Rh 2.79, 2 Re 2.96

[9]
Computed, not measured: a geometry-optimized BaNiPd structure at the GGA-PBE level of DFT.

Results
* D(E_F): 0.7029 states/eV/atom
* calculated formation energy: -0.052 eV per atom
* theoretical density: 7.08 g cm⁻³
* calculated volume: 142 Å³/cell
* total moment: 0.0487 μB/atom

abc: 6.5091 6.5091 4.8397
angles: 111.78 111.78 49.31
With the nearest neighbours (Å) after each atom.
Positions (direct):
Ba: 0.1201 0.1201 0.3702  4 Pd 3.11, 2 Ni 3.25
Ba: 0.8799 0.8799 0.6298  4 Pd 3.11, 2 Ni 3.25
Ni: 0.4548 0.4548 0.2034  2 Ni 2.60-2.62, 2 Pd 2.60
Ni: 0.5452 0.5452 0.7966  2 Ni 2.60-2.62, 2 Pd 2.60
Pd: 0.0000 0.5000 0.0000  2 Ni 2.60, 2 Pd 2.72
Pd: 0.5000 0.0000 0.0000  2 Ni 2.60, 2 Pd 2.72

[10]
Computed, not measured: a geometry-optimized Ce2GaCuAu6 structure at the GGA-PBE level of DFT.

Results
* D(E_F): 1.8539 states/eV/atom
* calculated formation energy: -0.353 eV per atom
* theoretical density: 11.91 g cm⁻³
* calculated volume: 222 Å³/cell
* total moment: 0.2314 μB/atom

abc: 5.4822 6.7978 7.0659
angles: 83.05 67.25 66.39
With the nearest neighbours (Å) after each atom.
Positions (direct):
Ce: 0.0242 0.2350 0.2149  7 Au 3.15-3.29, 2 Cu 3.52
Ce: 0.9758 0.7650 0.7851  7 Au 3.15-3.29, 2 Cu 3.52
Ga: 0.5000 0.0000 0.5000  6 Au 2.62-2.66
Cu: 0.5000 0.5000 0.0000  6 Au 2.60-2.68
Au: 0.9998 0.2235 0.7777  1 Cu 2.60, 1 Ga 2.63, 2 Au 2.74
Au: 0.0002 0.7765 0.2223  1 Cu 2.60, 1 Ga 2.63, 2 Au 2.74
Au: 0.3463 0.4088 0.3984  1 Ga 2.66, 1 Cu 2.68, 2 Au 2.94-2.95
Au: 0.4988 0.7785 0.2222  1 Cu 2.60, 1 Ga 2.62, 2 Au 2.74
Au: 0.5012 0.2215 0.7778  1 Cu 2.60, 1 Ga 2.62, 2 Au 2.74
Au: 0.6537 0.5912 0.6016  1 Ga 2.66, 1 Cu 2.68, 2 Au 2.94-2.95